Version i
Pd3Pt4Rh: relaxed, GGA-PBE.

POSCAR file:
```
Pd3Pt4Rh
1.0
-1.378 2.370 9.508
1.378 -2.370 9.508
1.378 2.370 -9.508
Pd Pt Rh
3 4 1
Direct
0.000 0.000 0.000
0.252 0.252 0.000
0.748 0.748 0.000
0.126 0.626 0.500
0.378 0.878 0.500
0.622 0.122 0.500
0.874 0.374 0.500
0.500 0.500 0.000
```

## Properties
The calculated volume comes out at 15.5 Å³/atom. Its symmetry is Immm, No. 71.

Version ii
Pd3Pt4Rh: relaxed, GGA-PBE.

POSCAR file:
```
Pd3Pt4Rh
1.0
-1.963 1.963 7.950
1.963 -1.963 7.950
1.963 1.963 -7.950
Pd Pt Rh
3 4 1
Direct
0.000 0.000 0.000
0.251 0.251 0.000
0.749 0.749 0.000
0.123 0.623 0.500
0.377 0.877 0.500
0.623 0.123 0.500
0.877 0.377 0.500
0.500 0.500 0.000
```

## Properties
The calculated volume comes out at 15.3 Å³/atom. Its symmetry is I4/mmm, No. 139.

The structure with the least stability is version i.

Version i
Pd3Pt3Rh2: relaxed, GGA-PBE.

POSCAR file:
```
Pd3Pt3Rh2
1.0
3.907 0.000 0.000
0.000 3.925 0.000
0.000 0.000 7.900
Pd Pt Rh
3 3 2
Direct
0.000 0.000 0.000
0.000 0.500 0.248
0.000 0.500 0.752
0.000 0.000 0.500
0.500 0.500 0.000
0.500 0.500 0.500
0.500 0.000 0.252
0.500 0.000 0.748
```

## Properties
The calculated volume comes out at 15.1 Å³/atom. Its symmetry is Pmmm, No. 47.

Version ii
Pd3Pt3Rh2: relaxed, GGA-PBE.

POSCAR file:
```
Pd3Pt3Rh2
1.0
-1.964 1.970 7.834
1.964 -1.970 7.834
1.964 1.970 -7.834
Pd Pt Rh
3 3 2
Direct
0.000 0.000 0.000
0.128 0.628 0.500
0.872 0.372 0.500
0.372 0.872 0.500
0.500 0.500 0.000
0.628 0.128 0.500
0.251 0.251 0.000
0.749 0.749 0.000
```

## Properties
The calculated volume comes out at 15.2 Å³/atom. Its symmetry is Immm, No. 71.

The structure with the least stability is version i.

Version i
PdPt4Rh2: relaxed, GGA-PBE.

POSCAR file:
```
PdPt4Rh2
1.0
-3.269 3.269 2.639
3.269 -3.269 2.639
3.269 3.269 -2.639
Pd Pt Rh
1 4 2
Direct
0.000 0.000 0.000
0.293 0.293 0.585
0.293 0.707 0.000
0.707 0.293 0.000
0.707 0.707 0.415
0.250 0.750 0.500
0.750 0.250 0.500
```

## Properties
The calculated volume comes out at 16.1 Å³/atom. Its symmetry is I4/mmm, No. 139.

Version ii
PdPt4Rh2: relaxed, GGA-PBE.

POSCAR file:
```
PdPt4Rh2
1.0
0.000 4.295 5.225
2.642 0.000 5.225
2.642 4.295 0.000
Pd Pt Rh
1 4 2
Direct
0.000 0.000 0.000
0.000 0.000 0.500
0.250 0.250 0.250
0.500 0.500 0.000
0.750 0.750 0.750
0.368 0.368 0.632
0.632 0.632 0.368
```

## Properties
The calculated volume comes out at 16.9 Å³/atom. Its symmetry is Fmmm, No. 69.

The structure with the least stability is version ii.

Version i
Pd3Pt4Rh2: relaxed, GGA-PBE.

POSCAR file:
```
Pd3Pt4Rh2
1.0
6.805 -1.372 0.000
6.805 1.372 0.000
-1.412 0.000 7.433
Pd Pt Rh
3 4 2
Direct
0.000 0.000 0.000
0.157 0.157 0.593
0.843 0.843 0.407
0.174 0.174 0.242
0.490 0.490 0.674
0.510 0.510 0.326
0.826 0.826 0.758
0.333 0.333 0.077
0.667 0.667 0.923
```

## Properties
The calculated volume comes out at 15.4 Å³/atom. Its symmetry is C2/m, No. 12.

Version ii
Pd3Pt4Rh2: relaxed, GGA-PBE.

POSCAR file:
```
Pd3Pt4Rh2
1.0
0.000 4.904 5.925
2.457 0.000 5.925
2.457 4.904 0.000
Pd Pt Rh
3 4 2
Direct
0.000 0.000 0.000
0.000 0.000 0.500
0.500 0.500 0.000
0.057 0.332 0.668
0.332 0.057 0.943
0.668 0.943 0.057
0.943 0.668 0.332
0.389 0.389 0.611
0.611 0.611 0.389
```

## Properties
The calculated volume comes out at 15.9 Å³/atom. Its symmetry is Fmmm, No. 69.

The structure with the least stability is version ii.

Version i
PdPtRh4: relaxed, GGA-PBE.

POSCAR file:
```
PdPtRh4
1.0
-2.189 2.692 3.812
2.189 -2.692 3.812
2.189 2.692 -3.812
Pd Pt Rh
1 1 4
Direct
0.000 0.000 0.000
0.500 0.000 0.500
0.084 0.334 0.750
0.417 0.666 0.750
0.583 0.334 0.250
0.916 0.666 0.250
```

## Properties
The calculated volume comes out at 15.0 Å³/atom. Its symmetry is Immm, No. 71.

Version ii
PdPtRh4: relaxed, GGA-PBE.

POSCAR file:
```
PdPtRh4
1.0
4.603 0.000 0.000
2.297 3.992 0.000
2.215 1.319 5.206
Pd Pt Rh
1 1 4
Direct
0.000 0.000 0.000
0.500 0.500 0.500
0.171 0.174 0.480
0.333 0.331 0.006
0.667 0.669 0.994
0.829 0.826 0.520
```

## Properties
The calculated volume comes out at 15.9 Å³/atom. Its symmetry is P-1, No. 2.

The structure with the least stability is version ii.

Version i
Pd4Pt4Rh: relaxed, GGA-PBE.

POSCAR file:
```
Pd4Pt4Rh
1.0
-4.177 4.177 1.979
4.177 -4.177 1.979
4.177 4.177 -1.979
Pd Pt Rh
4 4 1
Direct
0.000 0.332 0.332
0.000 0.668 0.668
0.332 0.000 0.332
0.668 0.000 0.668
0.334 0.334 0.669
0.334 0.666 0.000
0.666 0.334 0.000
0.666 0.666 0.331
0.000 0.000 0.000
```

## Properties
The calculated volume comes out at 15.3 Å³/atom. Its symmetry is I4/mmm, No. 139.

Version ii
Pd4Pt4Rh: relaxed, GGA-PBE.

POSCAR file:
```
Pd4Pt4Rh
1.0
5.783 0.000 0.000
0.000 5.783 0.000
0.000 0.000 9.289
Pd Pt Rh
8 8 2
Direct
0.006 0.750 0.010
0.250 0.506 0.490
0.250 0.994 0.490
0.494 0.750 0.010
0.506 0.250 0.990
0.750 0.006 0.510
0.750 0.494 0.510
0.994 0.250 0.990
0.035 0.250 0.691
0.250 0.035 0.191
0.250 0.465 0.191
0.465 0.250 0.691
0.535 0.750 0.309
0.750 0.535 0.809
0.750 0.965 0.809
0.965 0.750 0.309
0.250 0.750 0.750
0.750 0.250 0.250
```

## Properties
The calculated volume comes out at 17.3 Å³/atom. Its symmetry is P4_2/nmc, No. 137.

The structure with the least stability is version ii.

Version i
PdPt5Rh4: relaxed, GGA-PBE.

POSCAR file:
```
PdPt5Rh4
1.0
2.767 0.000 0.000
0.000 2.767 0.000
0.000 0.000 19.605
Pd Pt Rh
1 5 4
Direct
0.000 0.000 0.000
0.500 0.500 0.104
0.500 0.500 0.301
0.500 0.500 0.500
0.500 0.500 0.699
0.500 0.500 0.896
0.000 0.000 0.202
0.000 0.000 0.400
0.000 0.000 0.600
0.000 0.000 0.798
```

## Properties
The calculated volume comes out at 15.0 Å³/atom. Its symmetry is P4/mmm, No. 123.

Version ii
PdPt5Rh4: relaxed, GGA-PBE.

POSCAR file:
```
PdPt5Rh4
1.0
6.794 -1.970 0.000
6.794 1.970 0.000
-3.565 0.000 5.991
Pd Pt Rh
1 5 4
Direct
0.000 0.000 0.000
0.000 0.000 0.500
0.328 0.328 0.275
0.329 0.329 0.881
0.671 0.671 0.119
0.672 0.672 0.725
0.176 0.176 0.428
0.479 0.479 0.729
0.521 0.521 0.271
0.824 0.824 0.572
```

## Properties
The calculated volume comes out at 16.0 Å³/atom. Its symmetry is C2/m, No. 12.

The structure with the least stability is version ii.

Version i
PdPt4Rh3: relaxed, GGA-PBE.

POSCAR file:
```
PdPt4Rh3
1.0
8.091 -1.957 0.000
8.091 1.957 0.000
-0.941 0.000 3.800
Pd Pt Rh
1 4 3
Direct
0.000 0.000 0.000
0.127 0.127 0.627
0.373 0.373 0.873
0.627 0.627 0.127
0.873 0.873 0.373
0.251 0.251 0.251
0.500 0.500 0.500
0.749 0.749 0.749
```

## Properties
The calculated volume comes out at 15.0 Å³/atom. Its symmetry is C2/m, No. 12.

Version ii
PdPt4Rh3: relaxed, GGA-PBE.

POSCAR file:
```
PdPt4Rh3
1.0
4.815 -2.775 0.000
4.815 2.775 0.000
-1.617 0.000 4.511
Pd Pt Rh
1 4 3
Direct
0.000 0.000 0.000
0.000 0.500 0.000
0.251 0.251 0.504
0.500 0.000 0.000
0.749 0.749 0.496
0.254 0.746 0.500
0.500 0.500 0.000
0.746 0.254 0.500
```

## Properties
The calculated volume comes out at 15.1 Å³/atom. Its symmetry is C2/m, No. 12.

The structure with the least stability is version ii.